{"formula": "Zr4CrIn", "functional": "PBE", "state": "optimized geometry", "formation_energy_ev_per_atom": 0.40, "density_g_cm3": 6.5, "m_tot_mub_per_atom": 0.6577, "crystal_system": "cubic", "lattice_angstrom": [[0.000, 4.072, 4.072], [4.072, 0.000, 4.072], [4.072, 4.072, 0.000]], "species": ["Zr", "Zr", "Zr", "Zr", "Cr", "In"], "fractional_positions": [[0.872, 0.376, 0.376], [0.376, 0.376, 0.872], [0.376, 0.872, 0.376], [0.376, 0.376, 0.376], [0.750, 0.750, 0.750], [0.000, 0.000, 0.000]]}